1.
# Ac2Hg5Au

Ac2Hg5Au after structural relaxation (GGA-PBE, Alexandria).

Properties
Excess energy over the best structure of this formula in the dataset in meV per atom: 15
ΔE_f in eV per atom: -0.397
Magnetization in μB per formula unit: 0.0
SG: Pbam (55)
Crystal system: orthorhombic

Geometry as POSCAR:
```
Ac2Hg5Au
1.0
7.108 0.000 0.000
0.000 13.841 0.000
0.000 0.000 4.664
Ac Hg Au
4 10 2
direct
0.212 0.115 0.000 Ac
0.288 0.615 0.000 Ac
0.712 0.385 0.000 Ac
0.788 0.885 0.000 Ac
0.000 0.500 0.500 Hg
0.065 0.765 0.500 Hg
0.202 0.367 0.000 Hg
0.298 0.867 0.000 Hg
0.435 0.265 0.500 Hg
0.500 0.000 0.500 Hg
0.565 0.735 0.500 Hg
0.702 0.133 0.000 Hg
0.798 0.633 0.000 Hg
0.935 0.235 0.500 Hg
0.000 0.000 0.500 Au
0.500 0.500 0.500 Au
```

2.
# Ac3Hg4Au4

Ac3Hg4Au4 after structural relaxation (GGA-PBE, Alexandria).

Properties
ΔE_f in eV per atom: -0.572
Magnetization in μB per formula unit: 0.0
SG: Immm (71)
Crystal system: orthorhombic

Geometry as POSCAR:
```
Ac3Hg4Au4
1.0
-2.250 4.129 7.937
2.250 -4.129 7.937
2.250 4.129 -7.937
Ac Hg Au
3 4 4
direct
0.000 0.000 0.000 Ac
0.370 0.870 0.500 Ac
0.630 0.130 0.500 Ac
0.027 0.333 0.695 Hg
0.362 0.667 0.695 Hg
0.638 0.333 0.305 Hg
0.973 0.667 0.305 Hg
0.220 0.220 0.000 Au
0.321 0.500 0.821 Au
0.679 0.500 0.179 Au
0.780 0.780 0.000 Au
```

3.
# Ac2Hg3Au2

Ac2Hg3Au2 after structural relaxation (GGA-PBE, Alexandria).

Properties
Excess energy over the best structure of this formula in the dataset in meV per atom: 0
ΔE_f in eV per atom: -0.576
Magnetization in μB per formula unit: 0.0
SG: C2/m (12)
Crystal system: monoclinic

Geometry as POSCAR:
```
Ac2Hg3Au2
1.0
5.310 -2.440 0.000
5.310 2.440 0.000
-2.148 0.000 7.423
Ac Hg Au
2 3 2
direct
0.134 0.134 0.280 Ac
0.866 0.866 0.720 Ac
0.380 0.380 0.068 Hg
0.500 0.500 0.500 Hg
0.620 0.620 0.932 Hg
0.172 0.172 0.710 Au
0.828 0.828 0.290 Au
```

4.
# Ac4HgAu7

Ac4HgAu7 after structural relaxation (GGA-PBE, Alexandria).

Properties
ΔE_f in eV per atom: -0.657
Magnetization in μB per formula unit: 0.0
SG: C2/m (12)
Crystal system: monoclinic

Geometry as POSCAR:
```
Ac4HgAu7
1.0
7.847 -2.609 0.000
7.847 2.609 0.000
-5.023 0.000 8.419
Ac Hg Au
4 1 7
direct
0.064 0.064 0.255 Ac
0.223 0.223 0.765 Ac
0.777 0.777 0.235 Ac
0.936 0.936 0.745 Ac
0.500 0.500 0.500 Hg
0.000 0.000 0.500 Au
0.160 0.160 0.041 Au
0.305 0.305 0.521 Au
0.388 0.388 0.139 Au
0.612 0.612 0.861 Au
0.695 0.695 0.479 Au
0.840 0.840 0.959 Au
```

5.
# Ac3Hg2Au7

Ac3Hg2Au7 after structural relaxation (GGA-PBE, Alexandria).

Properties
ΔE_f in eV per atom: -0.583
Magnetization in μB per formula unit: 0.0
SG: P2/m (10)
Crystal system: monoclinic

Geometry as POSCAR:
```
Ac3Hg2Au7
1.0
5.421 0.000 0.000
0.000 4.728 0.000
-0.480 0.000 12.366
Ac Hg Au
3 2 7
direct
0.000 0.000 0.000 Ac
0.428 0.500 0.321 Ac
0.572 0.500 0.679 Ac
0.027 0.000 0.707 Hg
0.973 0.000 0.293 Hg
0.109 0.500 0.832 Au
0.252 0.000 0.498 Au
0.497 0.000 0.852 Au
0.500 0.500 0.000 Au
0.503 0.000 0.148 Au
0.748 0.000 0.502 Au
0.891 0.500 0.168 Au
```

6.
# AcHg2Au2

AcHg2Au2 after structural relaxation (GGA-PBE, Alexandria).

Properties
Excess energy over the best structure of this formula in the dataset in meV per atom: 58
ΔE_f in eV per atom: -0.388
Magnetization in μB per formula unit: 0.0
SG: C2/m (12)
Crystal system: monoclinic

Geometry as POSCAR:
```
AcHg2Au2
1.0
3.383 -4.044 0.000
3.383 4.044 0.000
-3.368 0.000 4.820
Ac Hg Au
1 2 2
direct
0.000 0.000 0.000 Ac
0.359 0.359 0.713 Hg
0.641 0.641 0.287 Hg
0.248 0.752 0.500 Au
0.752 0.248 0.500 Au
```

7.
# Ac3Hg2Au2

Ac3Hg2Au2 after structural relaxation (GGA-PBE, Alexandria).

Properties
ΔE_f in eV per atom: -0.555
Magnetization in μB per formula unit: 0.0
SG: P-1 (2)
Crystal system: triclinic

Geometry as POSCAR:
```
Ac3Hg2Au2
1.0
4.429 0.000 0.000
1.735 4.128 0.000
1.697 1.034 12.871
Ac Hg Au
3 2 2
direct
0.000 0.000 0.000 Ac
0.225 0.218 0.280 Ac
0.775 0.782 0.720 Ac
0.178 0.183 0.560 Hg
0.822 0.817 0.440 Hg
0.387 0.390 0.859 Au
0.613 0.610 0.141 Au
```

8.
# Ac6Hg5Au

Ac6Hg5Au after structural relaxation (GGA-PBE, Alexandria).

Properties
ΔE_f in eV per atom: -0.525
Magnetization in μB per formula unit: 0.0
SG: Immm (71)
Crystal system: orthorhombic

Geometry as POSCAR:
```
Ac6Hg5Au
1.0
-2.843 4.030 8.512
2.843 -4.030 8.512
2.843 4.030 -8.512
Ac Hg Au
6 5 1
direct
0.082 0.338 0.744 Ac
0.241 0.000 0.241 Ac
0.407 0.662 0.744 Ac
0.593 0.338 0.256 Ac
0.759 0.000 0.759 Ac
0.918 0.662 0.256 Ac
0.175 0.175 0.000 Hg
0.333 0.833 0.500 Hg
0.500 0.500 0.000 Hg
0.667 0.167 0.500 Hg
0.825 0.825 0.000 Hg
0.000 0.500 0.500 Au
```

9.
# Ac4HgAu3

Ac4HgAu3 after structural relaxation (GGA-PBE, Alexandria).

Properties
ΔE_f in eV per atom: -0.720
Magnetization in μB per formula unit: 0.0
SG: Pmm2 (25)
Crystal system: orthorhombic

Geometry as POSCAR:
```
Ac4HgAu3
1.0
4.209 0.000 0.000
0.000 5.040 0.000
0.000 0.000 11.987
Ac Hg Au
4 1 3
direct
0.000 0.000 0.000 Ac
0.000 0.500 0.262 Ac
0.500 0.000 0.487 Ac
0.500 0.500 0.766 Ac
0.000 0.000 0.714 Hg
0.000 0.500 0.538 Au
0.500 0.000 0.216 Au
0.500 0.500 0.041 Au
```

10.
# Ac3HgAu3

Ac3HgAu3 after structural relaxation (GGA-PBE, Alexandria).

Properties
Excess energy over the best structure of this formula in the dataset in meV per atom: 141
ΔE_f in eV per atom: -0.586
Magnetization in μB per formula unit: 0.0
SG: P6_3/m (176)
Crystal system: hexagonal

Geometry as POSCAR:
```
Ac3HgAu3
1.0
9.531 0.000 0.000
-4.766 8.254 0.000
0.000 0.000 6.293
Ac Hg Au
6 2 6
direct
0.031 0.680 0.250 Ac
0.320 0.351 0.250 Ac
0.351 0.031 0.750 Ac
0.649 0.969 0.250 Ac
0.680 0.649 0.750 Ac
0.969 0.320 0.750 Ac
0.333 0.667 0.750 Hg
0.667 0.333 0.250 Hg
0.026 0.681 0.750 Au
0.319 0.345 0.750 Au
0.345 0.026 0.250 Au
0.655 0.974 0.750 Au
0.681 0.655 0.250 Au
0.974 0.319 0.250 Au
```

11.
# Ac3HgAu5

Ac3HgAu5 after structural relaxation (GGA-PBE, Alexandria).

Properties
ΔE_f in eV per atom: -0.542
Magnetization in μB per formula unit: 0.0
SG: I4/mcm (140)
Crystal system: tetragonal

Geometry as POSCAR:
```
Ac3HgAu5
1.0
-4.351 4.351 6.840
4.351 -4.351 6.840
4.351 4.351 -6.840
Ac Hg Au
6 2 10
direct
0.138 0.638 0.777 Ac
0.250 0.250 0.000 Ac
0.362 0.138 0.500 Ac
0.638 0.862 0.500 Ac
0.750 0.750 0.000 Ac
0.862 0.362 0.223 Ac
0.250 0.750 0.500 Hg
0.750 0.250 0.500 Hg
0.000 0.000 0.000 Au
0.040 0.151 0.500 Au
0.151 0.651 0.112 Au
0.349 0.460 0.500 Au
0.460 0.960 0.112 Au
0.500 0.500 0.000 Au
0.540 0.040 0.888 Au
0.651 0.540 0.500 Au
0.849 0.349 0.888 Au
0.960 0.849 0.500 Au
```

Which of these has the lowest ΔE_f?
Ac4HgAu3

Look up the ΔE_f of the third one.
-0.576 eV per atom

The lowest ΔE_f belongs to which entry?
Ac4HgAu3